Material: Ir
Method: DFT, PBE
State: relaxed

Cell: 2.7231 2.7231 2.7339 Å, 119.87 119.87 90.00°
With the nearest neighbours (Å) after each atom.
Atoms (fractional coordinates):
Ir (0.0000, 0.0000, 0.0000)  12 Ir 2.72-2.73

## Properties
SG: I4/mmm (139)
formation energy from the elements: 0.00 eV per atom
DFT total energy: -8.85 eV/f.u.

Material: Ir
Method: DFT, PBE
State: relaxed

Cell: 2.7105 3.8463 33.3362 Å, 90.00 90.00 90.00°
With the nearest neighbours (Å) after each atom.
Atoms (fractional coordinates):
Ir (0.0000, 0.0000, 0.1950)  7 Ir 2.64-2.71
Ir (0.5000, 0.5000, 0.2310)  11 Ir 2.64-2.81
Ir (0.0000, 0.0000, 0.2744)  12 Ir 2.65-2.76
Ir (0.5000, 0.5000, 0.3154)  12 Ir 2.70-2.81
Ir (0.0000, 0.0000, 0.3554)  12 Ir 2.70-2.77
Ir (0.5000, 0.5000, 0.3972)  12 Ir 2.71-2.73
Ir (0.0000, 0.0000, 0.4384)  12 Ir 2.71-2.77
Ir (0.5000, 0.5000, 0.4791)  12 Ir 2.71-2.75
Ir (0.0000, 0.0000, 0.5209)  12 Ir 2.71-2.75
Ir (0.5000, 0.5000, 0.5616)  12 Ir 2.71-2.77
Ir (0.0000, 0.0000, 0.6028)  12 Ir 2.71-2.73
Ir (0.5000, 0.5000, 0.6446)  12 Ir 2.70-2.77
Ir (0.0000, 0.0000, 0.6846)  12 Ir 2.70-2.81
Ir (0.5000, 0.5000, 0.7256)  12 Ir 2.65-2.76
Ir (0.0000, 0.0000, 0.7690)  11 Ir 2.64-2.81
Ir (0.5000, 0.5000, 0.8050)  7 Ir 2.64-2.71

## Properties
SG: Pmmn (59)
formation energy from the elements: 0.24 eV per atom
DFT total energy: -8.62 eV/f.u.

Material: Ir
Method: DFT, PBE
State: relaxed

Cell: 4.6718 4.6718 3.8657 Å, 90.00 90.00 131.12°
With the nearest neighbours (Å) after each atom.
Atoms (fractional coordinates):
Ir (0.1437, 0.8563, 0.0000)  9 Ir 2.44-2.73
Ir (0.6437, 0.3563, 0.4999)  9 Ir 2.44-2.73
Ir (0.3563, 0.6437, 0.5001)  9 Ir 2.44-2.73
Ir (0.8563, 0.1437, 0.0000)  9 Ir 2.44-2.73

## Properties
SG: I4/mmm (139)
formation energy from the elements: 0.38 eV per atom
DFT total energy: -8.47 eV/f.u.

Material: Ir
Method: DFT, PBE
State: relaxed

Cell: 5.1957 5.1957 8.5487 Å, 90.00 90.00 149.51°
With the nearest neighbours (Å) after each atom.
Atoms (fractional coordinates):
Ir (0.6293, 0.3707, 0.0182)  12 Ir 2.61-2.87
Ir (0.9734, 0.0266, 0.2500)  13 Ir 2.68-2.87
Ir (0.2404, 0.7596, 0.2500)  11 Ir 2.64-2.73
Ir (0.6293, 0.3707, 0.4818)  12 Ir 2.61-2.87
Ir (0.3707, 0.6293, 0.5182)  12 Ir 2.61-2.87
Ir (0.7596, 0.2404, 0.7500)  11 Ir 2.64-2.73
Ir (0.0266, 0.9734, 0.7500)  13 Ir 2.68-2.87
Ir (0.3707, 0.6293, 0.9818)  12 Ir 2.61-2.87

## Properties
SG: Cmcm (63)
formation energy from the elements: 0.14 eV per atom
DFT total energy: -8.71 eV/f.u.

Which of these has the lowest DFT total energy? number 1

Which value of formation energy from the elements does entry 3 give? 0.38 eV per atom